a.
Density functional theory data (PBE) for RbOF3 after structural relaxation.

The structure belongs to space group Pm-3m (No. 221); the cell edges are 4.0428, 4.0428 and 4.0428 Å and the angles 90.00°, 90.00° and 90.00°. Symmetry generates all atoms from Rb at (0.0000, 0.0000, 0.0000), O at (0.5000, 0.5000, 0.5000) and F at (0.0000, 0.5000, 0.5000).

b.
Density functional theory data (PBE) for RbOF3 after structural relaxation.

The structure belongs to space group Pm-3m (No. 221); the cell edges are 4.9991, 4.9991 and 4.9991 Å and the angles 90.00°, 90.00° and 90.00°. Symmetry generates all atoms from Rb at (0.0000, 0.0000, 0.0000), O at (0.5000, 0.5000, 0.5000) and F at (0.0000, 0.0000, 0.5000).

What should be chosen as the most stable of them? Choose a.

a.
Density functional theory data (PBE) for RbSOF2 after structural relaxation.

The structure belongs to space group P4/mmm (No. 123); the cell edges are 4.6603, 4.6603 and 3.5180 Å and the angles 90.00°, 90.00° and 90.00°. Symmetry generates all atoms from Rb at (0.0000, 0.0000, 0.0000), S at (0.5000, 0.5000, 0.5000), O at (0.5000, 0.5000, 0.0000) and F at (0.0000, 0.5000, 0.5000).

b.
Density functional theory data (PBE) for RbSOF2 after structural relaxation.

The structure belongs to space group P4/mmm (No. 123); the cell edges are 4.8728, 4.8728 and 4.9505 Å and the angles 90.00°, 90.00° and 90.00°. Symmetry generates all atoms from Rb at (0.0000, 0.0000, 0.0000), S at (0.5000, 0.5000, 0.5000), O at (0.0000, 0.0000, 0.5000) and F at (0.0000, 0.5000, 0.0000).

What should be chosen as the most stable of them? Choose a.

a.
Density functional theory data (PBE) for RbSnOF2 after structural relaxation.

The structure belongs to space group P4/mmm (No. 123); the cell edges are 4.6688, 4.6688 and 4.1581 Å and the angles 90.00°, 90.00° and 90.00°. Symmetry generates all atoms from Rb at (0.0000, 0.0000, 0.0000), Sn at (0.5000, 0.5000, 0.5000), O at (0.5000, 0.5000, 0.0000) and F at (0.0000, 0.5000, 0.5000).

b.
Density functional theory data (PBE) for RbSnOF2 after structural relaxation.

The structure belongs to space group P4/mmm (No. 123); the cell edges are 4.8467, 4.8467 and 4.4485 Å and the angles 90.00°, 90.00° and 90.00°. Symmetry generates all atoms from Rb at (0.0000, 0.0000, 0.0000), Sn at (0.5000, 0.5000, 0.5000), O at (0.0000, 0.0000, 0.5000) and F at (0.0000, 0.5000, 0.0000).

What should be chosen as the most stable of them? Choose a.

a.
Density functional theory data (PBE) for RbSrOF2 after structural relaxation.

The structure belongs to space group P4/mmm (No. 123); the cell edges are 4.7862, 4.7862 and 4.7994 Å and the angles 90.00°, 90.00° and 90.00°. Symmetry generates all atoms from Rb at (0.0000, 0.0000, 0.0000), Sr at (0.5000, 0.5000, 0.5000), O at (0.5000, 0.5000, 0.0000) and F at (0.0000, 0.5000, 0.5000).

b.
Density functional theory data (PBE) for RbSrOF2 after structural relaxation.

The structure belongs to space group P4/mmm (No. 123); the cell edges are 4.8657, 4.8657 and 4.4600 Å and the angles 90.00°, 90.00° and 90.00°. Symmetry generates all atoms from Rb at (0.0000, 0.0000, 0.0000), Sr at (0.5000, 0.5000, 0.5000), O at (0.0000, 0.0000, 0.5000) and F at (0.0000, 0.5000, 0.0000).

What should be chosen as the most stable of them? Choose a.